No. 1
The following is a DFT calculation (PBE) of a relaxed Li2Ag2Sn crystal.

It has space group P4/mbm (No. 127), with a = 7.538 Å, b = 7.538 Å, c = 3.187 Å, α = 90.00°, β = 90.00° and γ = 90.00°. The distinct sites, in fractional coordinates, are Li at (0.165, 0.335, 0.000), Ag at (0.132, 0.632, 0.500) and Sn at (0.000, 0.000, 0.500).

As for the energy above the most stable polymorph in this dataset: 1.15 kcal/mol of atoms. Its formation energy from the elements is -0.232 eV per atom.

***

No. 2
The following is a DFT calculation (PBE) of a relaxed Tb3Pr2Nd2 crystal.

It has space group P-1 (No. 2), with a = 6.297 Å, b = 6.305 Å, c = 6.316 Å, α = 99.78°, β = 99.65° and γ = 99.54°. The distinct sites, in fractional coordinates, are Tb at (0.000, 0.000, 0.000), Tb at (0.141, 0.283, 0.571), Pr at (0.284, 0.570, 0.145) and Nd at (0.427, 0.857, 0.714).

As for the energy above the most stable polymorph in this dataset: 0.00 kcal/mol of atoms. Its formation energy from the elements is 0.017 eV per atom.